# 1
# Cd2PtAu, PBEsol geometry, DFT SCAN
# - formation energy from the elements (kcal/mol of atoms) = -6.30
# - magnetization (Bohr magnetons per cell) = 0.00
# - density (Mg/m³) = 14.8
# - DOS at the Fermi energy (states/eV/f.u.) = 1.4
# - uncorrected energy (eV per atom) = -50.318
data_Cd2PtAu
_space_group_name_H-M_alt 'P 4/m m m'
_space_group_IT_number 123
_space_group_name_Hall '-P 4 2'
_cell_length_a 4.1274
_cell_length_b 4.1274
_cell_length_c 4.0506
_cell_angle_alpha 90.00
_cell_angle_beta 90.00
_cell_angle_gamma 90.00
loop_
_atom_site_label
_atom_site_fract_x
_atom_site_fract_y
_atom_site_fract_z
Cd1 0.0000 0.5000 0.0000
Pt1 0.0000 0.0000 0.5000
Au1 0.5000 0.5000 0.5000

---

# 2
# Sr2Rh2Se, PBEsol geometry, DFT SCAN
# - magnetization (Bohr magnetons per cell) = 3.18
# - density (Mg/m³) = 6.6
# - DOS at the Fermi energy (states/eV/f.u.) = 2.0
# - uncorrected energy (eV per atom) = -27.213
# - formation energy (no corrections) (eV per atom) = -0.779
data_Sr2Rh2Se
_space_group_name_H-M_alt 'I 4/m m m'
_space_group_IT_number 139
_space_group_name_Hall '-I 4 2'
_cell_length_a 3.6627
_cell_length_b 3.6627
_cell_length_c 17.2667
_cell_angle_alpha 90.00
_cell_angle_beta 90.00
_cell_angle_gamma 90.00
loop_
_atom_site_label
_atom_site_fract_x
_atom_site_fract_y
_atom_site_fract_z
Sr1 0.0000 0.0000 0.1044
Rh1 0.0000 0.5000 0.2500
Se1 0.0000 0.0000 0.5000

---

# 3
# SrHf2Rh2, PBEsol geometry, DFT SCAN
# - formation energy from the elements (kcal/mol of atoms) = -8.50
# - magnetization (Bohr magnetons per cell) = 0.76
# - density (Mg/m³) = 9.2
# - DOS at the Fermi energy (states/eV/f.u.) = 3.9
# - uncorrected energy (eV per atom) = -43.401
data_SrHf2Rh2
_space_group_name_H-M_alt 'I 4/m m m'
_space_group_IT_number 139
_space_group_name_Hall '-I 4 2'
_cell_length_a 4.7617
_cell_length_b 4.7617
_cell_length_c 10.3268
_cell_angle_alpha 90.00
_cell_angle_beta 90.00
_cell_angle_gamma 90.00
loop_
_atom_site_label
_atom_site_fract_x
_atom_site_fract_y
_atom_site_fract_z
Sr1 0.0000 0.0000 0.0000
Hf1 0.0000 0.0000 0.3438
Rh1 0.0000 0.5000 0.2500

---

# 4
# Mn2W2Cl, PBEsol geometry, DFT SCAN
# - magnetization (Bohr magnetons per cell) = 2.23
# - density (Mg/m³) = 10.4
# - DOS at the Fermi energy (states/eV/f.u.) = 4.5
# - uncorrected energy (eV per atom) = -36.019
# - formation energy (no corrections) (eV per atom) = 0.754
data_Mn2W2Cl
_space_group_name_H-M_alt 'I 4/m m m'
_space_group_IT_number 139
_space_group_name_Hall '-I 4 2'
_cell_length_a 3.5204
_cell_length_b 3.5204
_cell_length_c 13.1852
_cell_angle_alpha 90.00
_cell_angle_beta 90.00
_cell_angle_gamma 90.00
loop_
_atom_site_label
_atom_site_fract_x
_atom_site_fract_y
_atom_site_fract_z
Mn1 0.0000 0.5000 0.2500
W1 0.0000 0.0000 0.1322
Cl1 0.0000 0.0000 0.5000

---

# 5
# NdCo2As2, PBEsol geometry, DFT SCAN
# - formation energy from the elements (kcal/mol of atoms) = -17.71
# - magnetization (Bohr magnetons per cell) = 3.52
# - density (Mg/m³) = 8.6
# - DOS at the Fermi energy (states/eV/f.u.) = 1.9
# - uncorrected energy (eV per atom) = -24.482
data_NdCo2As2
_space_group_name_H-M_alt 'I 4/m m m'
_space_group_IT_number 139
_space_group_name_Hall '-I 4 2'
_cell_length_a 3.9873
_cell_length_b 3.9873
_cell_length_c 10.0632
_cell_angle_alpha 90.00
_cell_angle_beta 90.00
_cell_angle_gamma 90.00
loop_
_atom_site_label
_atom_site_fract_x
_atom_site_fract_y
_atom_site_fract_z
Nd1 0.0000 0.0000 0.0000
Co1 0.0000 0.5000 0.2500
As1 0.0000 0.0000 0.3660

---

# 6
# Ca2SbPb, PBEsol geometry, DFT SCAN
# - magnetization (Bohr magnetons per cell) = 0.00
# - density (Mg/m³) = 6.0
# - offset from the most stable computed form (meV per atom) = 63
# - DOS at the Fermi energy (states/eV/f.u.) = 1.7
# - uncorrected energy (eV per atom) = -33.826
# - formation energy (no corrections) (eV per atom) = -0.733
data_Ca2SbPb
_space_group_name_H-M_alt 'I m m 2'
_space_group_IT_number 44
_space_group_name_Hall 'I 2 -2'
_cell_length_a 4.1904
_cell_length_b 4.8078
_cell_length_c 11.3204
_cell_angle_alpha 90.00
_cell_angle_beta 90.00
_cell_angle_gamma 90.00
loop_
_atom_site_label
_atom_site_fract_x
_atom_site_fract_y
_atom_site_fract_z
Ca1 0.0000 0.0000 0.0000
Ca2 0.0000 0.5000 0.2395
Sb1 0.0000 0.0000 0.4864
Pb1 0.0000 0.5000 0.7661

---

# 7
# FePbAu2, PBEsol geometry, DFT SCAN
# - formation energy from the elements (kcal/mol of atoms) = 5.85
# - magnetization (Bohr magnetons per cell) = 3.04
# - density (Mg/m³) = 15.3
# - DOS at the Fermi energy (states/eV/f.u.) = 2.8
# - uncorrected energy (eV per atom) = -57.802
data_FePbAu2
_space_group_name_H-M_alt 'P 4/m m m'
_space_group_IT_number 123
_space_group_name_Hall '-P 4 2'
_cell_length_a 4.0533
_cell_length_b 4.0533
_cell_length_c 4.3452
_cell_angle_alpha 90.00
_cell_angle_beta 90.00
_cell_angle_gamma 90.00
loop_
_atom_site_label
_atom_site_fract_x
_atom_site_fract_y
_atom_site_fract_z
Fe1 0.0000 0.0000 0.0000
Pb1 0.5000 0.5000 0.0000
Au1 0.0000 0.5000 0.5000

---

# 8
# LiCu2Pt2, PBEsol geometry, DFT SCAN
# - formation energy from the elements (kcal/mol of atoms) = 1.69
# - magnetization (Bohr magnetons per cell) = 0.00
# - density (Mg/m³) = 11.0
# - DOS at the Fermi energy (states/eV/f.u.) = 5.2
# - uncorrected energy (eV per atom) = -34.561
data_LiCu2Pt2
_space_group_name_H-M_alt 'I 4/m m m'
_space_group_IT_number 139
_space_group_name_Hall '-I 4 2'
_cell_length_a 3.7842
_cell_length_b 3.7842
_cell_length_c 11.0718
_cell_angle_alpha 90.00
_cell_angle_beta 90.00
_cell_angle_gamma 90.00
loop_
_atom_site_label
_atom_site_fract_x
_atom_site_fract_y
_atom_site_fract_z
Li1 0.0000 0.0000 0.0000
Cu1 0.0000 0.0000 0.3981
Pt1 0.0000 0.5000 0.2500

---

# 9
# Sc2TlAgPb, PBEsol geometry, DFT SCAN
# - formation energy from the elements (kcal/mol of atoms) = 14.78
# - magnetization (Bohr magnetons per cell) = 0.00
# - density (Mg/m³) = 6.2
# - DOS at the Fermi energy (states/eV/f.u.) = 4.4
# - uncorrected energy (eV per atom) = -40.955
data_Sc2TlAgPb
_space_group_name_H-M_alt 'P 4/m m m'
_space_group_IT_number 123
_space_group_name_Hall '-P 4 2'
_cell_length_a 5.3812
_cell_length_b 5.3812
_cell_length_c 5.6404
_cell_angle_alpha 90.00
_cell_angle_beta 90.00
_cell_angle_gamma 90.00
loop_
_atom_site_label
_atom_site_fract_x
_atom_site_fract_y
_atom_site_fract_z
Sc1 0.0000 0.5000 0.0000
Tl1 0.0000 0.0000 0.5000
Ag1 0.5000 0.5000 0.5000
Pb1 0.0000 0.0000 0.0000

---

# 10
# RbCaHBr2, PBEsol geometry, DFT SCAN
# - magnetization (Bohr magnetons per cell) = 0.00
# - density (Mg/m³) = 3.3
# - DOS at the Fermi energy (states/eV/f.u.) = 0.0
# - uncorrected energy (eV per atom) = -16.169
data_RbCaHBr2
_space_group_name_H-M_alt 'P 4/m m m'
_space_group_IT_number 123
_space_group_name_Hall '-P 4 2'
_cell_length_a 5.7274
_cell_length_b 5.7274
_cell_length_c 4.3384
_cell_angle_alpha 90.00
_cell_angle_beta 90.00
_cell_angle_gamma 90.00
loop_
_atom_site_label
_atom_site_fract_x
_atom_site_fract_y
_atom_site_fract_z
Rb1 0.0000 0.0000 0.0000
Ca1 0.5000 0.5000 0.5000
H1 0.5000 0.5000 0.0000
Br1 0.0000 0.5000 0.5000

---

# 11
# NbZnSn2Ru, PBEsol geometry, DFT SCAN
# - formation energy from the elements (kcal/mol of atoms) = 14.80
# - magnetization (Bohr magnetons per cell) = 1.81
# - density (Mg/m³) = 6.9
# - DOS at the Fermi energy (states/eV/f.u.) = 3.7
# - uncorrected energy (eV per atom) = -30.021
data_NbZnSn2Ru
_space_group_name_H-M_alt 'P 4/m m m'
_space_group_IT_number 123
_space_group_name_Hall '-P 4 2'
_cell_length_a 4.9908
_cell_length_b 4.9908
_cell_length_c 4.8039
_cell_angle_alpha 90.00
_cell_angle_beta 90.00
_cell_angle_gamma 90.00
loop_
_atom_site_label
_atom_site_fract_x
_atom_site_fract_y
_atom_site_fract_z
Nb1 0.0000 0.0000 0.0000
Zn1 0.5000 0.5000 0.0000
Sn1 0.0000 0.5000 0.5000
Ru1 0.0000 0.0000 0.5000

---

# 12
# In4Mo, PBEsol geometry, DFT SCAN
# - formation energy from the elements (kcal/mol of atoms) = -1.13
# - magnetization (Bohr magnetons per cell) = 0.00
# - density (Mg/m³) = 7.4
# - DOS at the Fermi energy (states/eV/f.u.) = 0.5
# - uncorrected energy (eV per atom) = -33.735
data_In4Mo
_space_group_name_H-M_alt 'I m -3 m'
_space_group_IT_number 229
_space_group_name_Hall '-I 4 2 3'
_cell_length_a 6.2990
_cell_length_b 6.2990
_cell_length_c 6.2990
_cell_angle_alpha 90.00
_cell_angle_beta 90.00
_cell_angle_gamma 90.00
loop_
_atom_site_label
_atom_site_fract_x
_atom_site_fract_y
_atom_site_fract_z
In1 0.2500 0.2500 0.2500
Mo1 0.0000 0.0000 0.0000

---

Question: Which value of density does entry 8 give?
Answer: 11.0 Mg/m³

---

Question: Which value of density does entry 8 give?
Answer: 11.0 Mg/m³

---

Question: Which value of DOS at the Fermi energy does entry 7 give?
Answer: 2.8 states/eV/f.u.